(one)
{
  "formula": "DyY",
  "functional": "PBE",
  "state": "optimized geometry",
  "vol_a3_per_atom": 32.07,
  "lattice_angstrom": [[3.542, 0.000, 0.000], [0.000, 13.130, 0.000], [0.000, 0.000, 5.518]],
  "species": ["Dy", "Dy", "Dy", "Dy", "Y", "Y", "Y", "Y"],
  "fractional_positions": [[0.000, 0.064, 0.250], [0.000, 0.936, 0.750], [0.500, 0.436, 0.750], [0.500, 0.564, 0.250], [0.000, 0.326, 0.250], [0.000, 0.674, 0.750], [0.500, 0.174, 0.750], [0.500, 0.826, 0.250]]
}


(two)
{
  "formula": "DyY",
  "functional": "PBE",
  "state": "optimized geometry",
  "vol_a3_per_atom": 32.32,
  "lattice_angstrom": [[5.638, 0.000, 0.000], [0.000, 3.638, 0.000], [0.000, 0.000, 6.303]],
  "species": ["Dy", "Dy", "Y", "Y"],
  "fractional_positions": [[0.250, 0.000, 0.166], [0.750, 0.000, 0.834], [0.250, 0.500, 0.667], [0.750, 0.500, 0.333]]
}


(three)
{
  "formula": "DyY",
  "functional": "PBE",
  "state": "optimized geometry",
  "vol_a3_per_atom": 32.12,
  "lattice_angstrom": [[3.680, 0.000, 0.000], [0.000, 5.910, 0.000], [0.000, 0.000, 5.908]],
  "species": ["Dy", "Dy", "Y", "Y"],
  "fractional_positions": [[0.000, 0.000, 0.000], [0.500, 0.500, 0.000], [0.000, 0.500, 0.500], [0.500, 0.000, 0.500]]
}


(four)
{
  "formula": "DyY",
  "functional": "PBE",
  "state": "optimized geometry",
  "vol_a3_per_atom": 32.40,
  "lattice_angstrom": [[4.017, 0.000, 0.000], [0.000, 4.017, 0.000], [0.000, 0.000, 4.017]],
  "species": ["Dy", "Y"],
  "fractional_positions": [[0.000, 0.000, 0.000], [0.500, 0.500, 0.500]]
}


Quick one: least stable of them? (four)


(one)
{
  "formula": "Dy8Y3",
  "functional": "PBE",
  "state": "optimized geometry",
  "vol_a3_per_atom": 34.23,
  "lattice_angstrom": [[6.212, 3.586, 2.817], [-6.212, 3.586, 2.817], [0.000, -7.173, 2.817]],
  "species": ["Dy", "Dy", "Dy", "Dy", "Dy", "Dy", "Dy", "Dy", "Y", "Y", "Y"],
  "fractional_positions": [[0.029, 0.691, 0.178], [0.178, 0.029, 0.691], [0.245, 0.245, 0.245], [0.309, 0.822, 0.971], [0.691, 0.178, 0.029], [0.755, 0.755, 0.755], [0.822, 0.971, 0.309], [0.971, 0.309, 0.822], [0.000, 0.500, 0.500], [0.500, 0.000, 0.500], [0.500, 0.500, 0.000]]
}


(two)
{
  "formula": "Dy8Y3",
  "functional": "PBE",
  "state": "optimized geometry",
  "vol_a3_per_atom": 32.92,
  "lattice_angstrom": [[4.756, 2.746, 4.621], [-4.756, 2.746, 4.621], [0.000, -5.492, 4.621]],
  "species": ["Dy", "Dy", "Dy", "Dy", "Dy", "Dy", "Dy", "Dy", "Y", "Y", "Y"],
  "fractional_positions": [[0.109, 0.109, 0.109], [0.198, 0.345, 0.619], [0.345, 0.619, 0.198], [0.381, 0.802, 0.655], [0.619, 0.198, 0.345], [0.655, 0.381, 0.802], [0.802, 0.655, 0.381], [0.891, 0.891, 0.891], [0.000, 0.000, 0.500], [0.000, 0.500, 0.000], [0.500, 0.000, 0.000]]
}


Quick one: least stable of them? (two)


(one)
{
  "formula": "Dy6Y",
  "functional": "PBE",
  "state": "optimized geometry",
  "vol_a3_per_atom": 32.97,
  "lattice_angstrom": [[6.483, 0.000, 0.000], [0.000, 6.483, 0.000], [0.000, 0.000, 10.982]],
  "species": ["Dy", "Dy", "Dy", "Dy", "Dy", "Dy", "Dy", "Dy", "Dy", "Dy", "Dy", "Dy", "Y", "Y"],
  "fractional_positions": [[0.082, 0.582, 0.138], [0.082, 0.918, 0.862], [0.250, 0.250, 0.360], [0.250, 0.250, 0.640], [0.418, 0.582, 0.862], [0.418, 0.918, 0.138], [0.582, 0.082, 0.862], [0.582, 0.418, 0.138], [0.750, 0.750, 0.360], [0.750, 0.750, 0.640], [0.918, 0.082, 0.138], [0.918, 0.418, 0.862], [0.250, 0.750, 0.500], [0.750, 0.250, 0.500]]
}


(two)
{
  "formula": "Dy6Y",
  "functional": "PBE",
  "state": "optimized geometry",
  "vol_a3_per_atom": 36.83,
  "lattice_angstrom": [[8.019, 0.000, 0.000], [0.000, 8.019, 0.000], [0.000, 0.000, 8.019]],
  "species": ["Dy", "Dy", "Dy", "Dy", "Dy", "Dy", "Dy", "Dy", "Dy", "Dy", "Dy", "Dy", "Y", "Y"],
  "fractional_positions": [[0.000, 0.250, 0.500], [0.000, 0.500, 0.250], [0.000, 0.500, 0.750], [0.000, 0.750, 0.500], [0.250, 0.000, 0.500], [0.250, 0.500, 0.000], [0.500, 0.000, 0.250], [0.500, 0.000, 0.750], [0.500, 0.250, 0.000], [0.500, 0.750, 0.000], [0.750, 0.000, 0.500], [0.750, 0.500, 0.000], [0.000, 0.000, 0.000], [0.500, 0.500, 0.500]]
}


Quick one: least stable of them? (two)


(one)
{
  "formula": "Dy13Y2",
  "functional": "PBE",
  "state": "optimized geometry",
  "vol_a3_per_atom": 32.58,
  "lattice_angstrom": [[3.502, 2.022, 11.504], [-3.502, 2.022, 11.504], [0.000, -4.044, 11.504]],
  "species": ["Dy", "Dy", "Dy", "Dy", "Dy", "Dy", "Dy", "Dy", "Dy", "Dy", "Dy", "Dy", "Dy", "Y", "Y"],
  "fractional_positions": [[0.000, 0.000, 0.000], [0.043, 0.546, 0.546], [0.210, 0.708, 0.708], [0.292, 0.292, 0.790], [0.292, 0.790, 0.292], [0.454, 0.454, 0.957], [0.454, 0.957, 0.454], [0.546, 0.043, 0.546], [0.546, 0.546, 0.043], [0.708, 0.210, 0.708], [0.708, 0.708, 0.210], [0.790, 0.292, 0.292], [0.957, 0.454, 0.454], [0.206, 0.206, 0.206], [0.794, 0.794, 0.794]]
}


(two)
{
  "formula": "Dy13Y2",
  "functional": "PBE",
  "state": "optimized geometry",
  "vol_a3_per_atom": 31.55,
  "lattice_angstrom": [[6.595, 0.000, 0.000], [1.315, 8.837, 0.000], [1.311, 3.489, 8.120]],
  "species": ["Dy", "Dy", "Dy", "Dy", "Dy", "Dy", "Dy", "Dy", "Dy", "Dy", "Dy", "Dy", "Dy", "Y", "Y"],
  "fractional_positions": [[0.000, 0.000, 0.000], [0.104, 0.753, 0.446], [0.197, 0.199, 0.202], [0.291, 0.979, 0.627], [0.313, 0.642, 0.954], [0.398, 0.401, 0.400], [0.487, 0.837, 0.169], [0.513, 0.163, 0.831], [0.602, 0.599, 0.600], [0.687, 0.358, 0.046], [0.709, 0.021, 0.373], [0.803, 0.801, 0.798], [0.896, 0.247, 0.554], [0.095, 0.421, 0.782], [0.905, 0.579, 0.218]]
}


Quick one: least stable of them? (one)


(one)
{
  "formula": "Dy2Y2Zn",
  "functional": "PBE",
  "state": "optimized geometry",
  "vol_a3_per_atom": 30.06,
  "lattice_angstrom": [[-2.483, 2.483, 12.186], [2.483, -2.483, 12.186], [2.483, 2.483, -12.186]],
  "species": ["Dy", "Dy", "Dy", "Dy", "Y", "Y", "Y", "Y", "Zn", "Zn"],
  "fractional_positions": [[0.055, 0.305, 0.750], [0.305, 0.055, 0.250], [0.695, 0.945, 0.750], [0.945, 0.695, 0.250], [0.198, 0.448, 0.750], [0.448, 0.198, 0.250], [0.552, 0.802, 0.750], [0.802, 0.552, 0.250], [0.375, 0.625, 0.750], [0.625, 0.375, 0.250]]
}


(two)
{
  "formula": "Dy2Y2Zn",
  "functional": "PBE",
  "state": "optimized geometry",
  "vol_a3_per_atom": 28.34,
  "lattice_angstrom": [[3.558, 0.000, 0.000], [0.000, 3.558, 0.000], [0.000, 0.000, 22.384]],
  "species": ["Dy", "Dy", "Dy", "Dy", "Y", "Y", "Y", "Y", "Zn", "Zn"],
  "fractional_positions": [[0.000, 0.000, 0.195], [0.000, 0.000, 0.805], [0.500, 0.500, 0.305], [0.500, 0.500, 0.695], [0.000, 0.000, 0.420], [0.000, 0.000, 0.580], [0.500, 0.500, 0.080], [0.500, 0.500, 0.920], [0.000, 0.000, 0.000], [0.500, 0.500, 0.500]]
}


Quick one: least stable of them? (one)


(one)
{
  "formula": "Dy3YZn2",
  "functional": "PBE",
  "state": "optimized geometry",
  "vol_a3_per_atom": 25.89,
  "lattice_angstrom": [[3.575, 0.000, 0.000], [0.000, 3.575, 0.000], [0.000, 0.000, 12.158]],
  "species": ["Dy", "Dy", "Dy", "Y", "Zn", "Zn"],
  "fractional_positions": [[0.000, 0.000, 0.000], [0.000, 0.000, 0.289], [0.000, 0.000, 0.711], [0.500, 0.500, 0.500], [0.500, 0.500, 0.145], [0.500, 0.500, 0.855]]
}


(two)
{
  "formula": "Dy3YZn2",
  "functional": "PBE",
  "state": "optimized geometry",
  "vol_a3_per_atom": 25.75,
  "lattice_angstrom": [[5.013, 0.000, 0.000], [0.000, 9.057, 0.000], [0.000, 0.000, 6.807]],
  "species": ["Dy", "Dy", "Dy", "Dy", "Dy", "Dy", "Y", "Y", "Zn", "Zn", "Zn", "Zn"],
  "fractional_positions": [[0.000, 0.058, 0.000], [0.000, 0.325, 0.350], [0.000, 0.675, 0.850], [0.000, 0.942, 0.500], [0.500, 0.173, 0.682], [0.500, 0.827, 0.182], [0.500, 0.443, 0.032], [0.500, 0.557, 0.532], [0.000, 0.351, 0.786], [0.000, 0.649, 0.286], [0.500, 0.150, 0.245], [0.500, 0.850, 0.745]]
}


Quick one: least stable of them? (one)


(one)
{
  "formula": "DyY4Zn",
  "functional": "PBE",
  "state": "optimized geometry",
  "vol_a3_per_atom": 29.65,
  "lattice_angstrom": [[4.426, -6.812, 0.000], [4.426, 6.812, 0.000], [-2.043, 0.000, 5.900]],
  "species": ["Dy", "Dy", "Y", "Y", "Y", "Y", "Y", "Y", "Y", "Y", "Zn", "Zn"],
  "fractional_positions": [[0.100, 0.900, 0.750], [0.900, 0.100, 0.250], [0.117, 0.329, 0.870], [0.214, 0.579, 0.448], [0.329, 0.117, 0.370], [0.421, 0.786, 0.052], [0.579, 0.214, 0.948], [0.671, 0.883, 0.630], [0.786, 0.421, 0.552], [0.883, 0.671, 0.130], [0.499, 0.501, 0.250], [0.501, 0.499, 0.750]]
}


(two)
{
  "formula": "DyY4Zn",
  "functional": "PBE",
  "state": "optimized geometry",
  "vol_a3_per_atom": 29.24,
  "lattice_angstrom": [[3.569, 0.000, 0.000], [0.000, 3.569, 0.000], [0.000, 0.000, 13.770]],
  "species": ["Dy", "Y", "Y", "Y", "Y", "Zn"],
  "fractional_positions": [[0.000, 0.000, 0.000], [0.000, 0.000, 0.371], [0.000, 0.000, 0.629], [0.500, 0.500, 0.182], [0.500, 0.500, 0.818], [0.500, 0.500, 0.500]]
}


Quick one: least stable of them? (one)


(one)
{
  "formula": "Dy3Y2Zn2",
  "functional": "PBE",
  "state": "optimized geometry",
  "vol_a3_per_atom": 27.29,
  "lattice_angstrom": [[3.548, 0.000, 0.000], [0.000, 30.578, 0.000], [0.000, 0.000, 3.522]],
  "species": ["Dy", "Dy", "Dy", "Dy", "Dy", "Dy", "Y", "Y", "Y", "Y", "Zn", "Zn", "Zn", "Zn"],
  "fractional_positions": [[0.000, 0.000, 0.000], [0.000, 0.117, 0.000], [0.000, 0.883, 0.000], [0.500, 0.383, 0.000], [0.500, 0.500, 0.000], [0.500, 0.617, 0.000], [0.000, 0.300, 0.500], [0.000, 0.700, 0.500], [0.500, 0.200, 0.500], [0.500, 0.800, 0.500], [0.000, 0.442, 0.500], [0.000, 0.558, 0.500], [0.500, 0.058, 0.500], [0.500, 0.942, 0.500]]
}


(two)
{
  "formula": "Dy3Y2Zn2",
  "functional": "PBE",
  "state": "optimized geometry",
  "vol_a3_per_atom": 27.53,
  "lattice_angstrom": [[12.825, 0.000, 0.000], [0.000, 3.700, 0.000], [-3.914, 0.000, 8.122]],
  "species": ["Dy", "Dy", "Dy", "Dy", "Dy", "Dy", "Y", "Y", "Y", "Y", "Zn", "Zn", "Zn", "Zn"],
  "fractional_positions": [[0.000, 0.000, 0.000], [0.112, 0.000, 0.442], [0.388, 0.500, 0.558], [0.500, 0.500, 0.000], [0.612, 0.500, 0.442], [0.888, 0.000, 0.558], [0.148, 0.500, 0.810], [0.352, 0.000, 0.190], [0.648, 0.000, 0.810], [0.852, 0.500, 0.190], [0.178, 0.500, 0.223], [0.322, 0.000, 0.777], [0.678, 0.000, 0.223], [0.822, 0.500, 0.777]]
}


Quick one: least stable of them? (one)


(one)
{
  "formula": "DyY2Zr",
  "functional": "PBE",
  "state": "optimized geometry",
  "vol_a3_per_atom": 29.24,
  "lattice_angstrom": [[3.452, 0.000, 0.000], [-1.726, 2.990, 0.000], [0.000, 0.000, 34.001]],
  "species": ["Dy", "Dy", "Dy", "Y", "Y", "Y", "Y", "Y", "Y", "Zr", "Zr", "Zr"],
  "fractional_positions": [[0.000, 0.000, 0.000], [0.333, 0.667, 0.667], [0.667, 0.333, 0.333], [0.000, 0.000, 0.245], [0.000, 0.000, 0.755], [0.333, 0.667, 0.421], [0.333, 0.667, 0.912], [0.667, 0.333, 0.088], [0.667, 0.333, 0.579], [0.000, 0.000, 0.500], [0.333, 0.667, 0.167], [0.667, 0.333, 0.833]]
}


(two)
{
  "formula": "DyY2Zr",
  "functional": "PBE",
  "state": "optimized geometry",
  "vol_a3_per_atom": 29.33,
  "lattice_angstrom": [[3.477, 0.000, 0.000], [-1.739, 3.011, 0.000], [0.000, 0.000, 33.616]],
  "species": ["Dy", "Dy", "Dy", "Y", "Y", "Y", "Y", "Y", "Y", "Zr", "Zr", "Zr"],
  "fractional_positions": [[0.000, 0.000, 0.000], [0.333, 0.667, 0.667], [0.667, 0.333, 0.333], [0.000, 0.000, 0.246], [0.000, 0.000, 0.421], [0.333, 0.667, 0.088], [0.333, 0.667, 0.912], [0.667, 0.333, 0.579], [0.667, 0.333, 0.755], [0.000, 0.000, 0.834], [0.333, 0.667, 0.500], [0.667, 0.333, 0.167]]
}


Quick one: least stable of them? (one)


(one)
{
  "formula": "DyYZr2",
  "functional": "PBE",
  "state": "optimized geometry",
  "vol_a3_per_atom": 26.79,
  "lattice_angstrom": [[3.375, 0.000, 0.000], [-1.687, 2.922, 0.000], [0.000, 0.000, 32.596]],
  "species": ["Dy", "Dy", "Dy", "Y", "Y", "Y", "Zr", "Zr", "Zr", "Zr", "Zr", "Zr"],
  "fractional_positions": [[0.000, 0.000, 0.000], [0.333, 0.667, 0.667], [0.667, 0.333, 0.333], [0.000, 0.000, 0.167], [0.333, 0.667, 0.834], [0.667, 0.333, 0.500], [0.000, 0.000, 0.417], [0.000, 0.000, 0.584], [0.333, 0.667, 0.083], [0.333, 0.667, 0.251], [0.667, 0.333, 0.750], [0.667, 0.333, 0.917]]
}


(two)
{
  "formula": "DyYZr2",
  "functional": "PBE",
  "state": "optimized geometry",
  "vol_a3_per_atom": 26.70,
  "lattice_angstrom": [[3.940, 0.000, 0.000], [0.000, 3.940, 0.000], [0.000, 0.000, 6.880]],
  "species": ["Dy", "Y", "Zr", "Zr"],
  "fractional_positions": [[0.000, 0.000, 0.000], [0.000, 0.000, 0.500], [0.500, 0.500, 0.228], [0.500, 0.500, 0.772]]
}


Quick one: least stable of them? (two)


(one)
{
  "formula": "Dy4Zn",
  "functional": "PBE",
  "state": "optimized geometry",
  "vol_a3_per_atom": 32.38,
  "lattice_angstrom": [[5.450, 0.000, 0.000], [0.000, 5.450, 0.000], [0.000, 0.000, 5.450]],
  "species": ["Dy", "Dy", "Dy", "Dy", "Zn"],
  "fractional_positions": [[0.000, 0.000, 0.000], [0.000, 0.500, 0.500], [0.500, 0.000, 0.500], [0.500, 0.500, 0.000], [0.500, 0.500, 0.500]]
}


(two)
{
  "formula": "Dy4Zn",
  "functional": "PBE",
  "state": "optimized geometry",
  "vol_a3_per_atom": 28.48,
  "lattice_angstrom": [[4.332, -7.638, 0.000], [4.332, 7.638, 0.000], [-3.827, 0.000, 4.304]],
  "species": ["Dy", "Dy", "Dy", "Dy", "Dy", "Dy", "Dy", "Dy", "Zn", "Zn"],
  "fractional_positions": [[0.039, 0.664, 0.851], [0.258, 0.430, 0.844], [0.336, 0.961, 0.649], [0.430, 0.258, 0.344], [0.570, 0.742, 0.656], [0.664, 0.039, 0.351], [0.742, 0.570, 0.156], [0.961, 0.336, 0.149], [0.000, 0.000, 0.250], [0.000, 0.000, 0.750]]
}


(three)
{
  "formula": "Dy4Zn",
  "functional": "PBE",
  "state": "optimized geometry",
  "vol_a3_per_atom": 28.02,
  "lattice_angstrom": [[3.550, 0.000, 0.000], [0.000, 3.550, 0.000], [0.000, 0.000, 22.230]],
  "species": ["Dy", "Dy", "Dy", "Dy", "Dy", "Dy", "Dy", "Dy", "Zn", "Zn"],
  "fractional_positions": [[0.000, 0.000, 0.080], [0.000, 0.000, 0.305], [0.000, 0.000, 0.695], [0.000, 0.000, 0.920], [0.500, 0.500, 0.195], [0.500, 0.500, 0.420], [0.500, 0.500, 0.580], [0.500, 0.500, 0.805], [0.000, 0.000, 0.500], [0.500, 0.500, 0.000]]
}


Quick one: least stable of them? (one)